# Ba2Hg4Pb3 | the Alexandria database | PBE-GGA | relaxed
data_Ba2Hg4Pb3
_cell_length_a 6.893
_cell_length_b 9.374
_cell_length_c 9.665
_cell_angle_alpha 90.00
_cell_angle_beta 110.89
_cell_angle_gamma 90.00
_space_group_name_H-M_alt 'P 1'
_space_group_IT_number 1
loop_
_space_group_symop_operation_xyz
'x,y,z'
loop_
_atom_site_label
_atom_site_type_symbol
_atom_site_fract_x
_atom_site_fract_y
_atom_site_fract_z
Ba1 Ba 0.884 0.417 0.768
Ba2 Ba 0.384 0.083 0.768
Ba3 Ba 0.616 0.917 0.232
Ba4 Ba 0.116 0.583 0.232
Pb1 Pb 0.000 0.000 0.000
Pb2 Pb 0.466 0.250 0.432
Pb3 Pb 0.534 0.750 0.568
Pb4 Pb 0.034 0.750 0.568
Pb5 Pb 0.500 0.500 0.000
Pb6 Pb 0.966 0.250 0.432
Hg1 Hg 0.298 0.250 0.096
Hg2 Hg 0.321 0.460 0.643
Hg3 Hg 0.679 0.540 0.357
Hg4 Hg 0.821 0.040 0.643
Hg5 Hg 0.702 0.750 0.904
Hg6 Hg 0.179 0.960 0.357
Hg7 Hg 0.798 0.250 0.096
Hg8 Hg 0.202 0.750 0.904
# - ΔH_f (0 K) (meV/atom) = -336
# - SG = Cmce